Entry 1:
Density functional theory data (PBE) for an optimized crystal structure of LaNd5Sc.

Results
As for the formation energy: 1.60 eV per formula unit. Its theoretical density is 6.0 Mg/m³. Its space group is P4/mmm (123). The total energy is -0.352 Ry per atom.

Unit cell a=5.3742 b=5.3742 c=8.7014 alpha=90.00 beta=90.00 gamma=90.00
With the nearest neighbours (Å) after each atom.
Fractional positions:
1 La 0.0000 0.0000 0.0000  12 Nd 3.69-3.80
2 Nd 0.0000 0.5000 0.2904  2 Sc 3.25
3 Nd 0.0000 0.5000 0.7096  2 Sc 3.25
4 Nd 0.5000 0.0000 0.2904  2 Sc 3.25
5 Nd 0.5000 0.0000 0.7096  2 Sc 3.25
6 Nd 0.5000 0.5000 0.0000  8 Nd 3.69, 4 La 3.80
7 Sc 0.0000 0.0000 0.5000  8 Nd 3.25


Entry 2:
Density functional theory data (PBE) for an optimized crystal structure of LaNd2Sc.

Results
As for the formation energy: 0.25 eV per formula unit. Its theoretical density is 6.0 Mg/m³. Its space group is R3m (160). The total energy is -0.378 Ry per atom.

Unit cell a=11.8957 b=11.8957 c=11.8957 alpha=17.38 beta=17.38 gamma=17.38
With the nearest neighbours (Å) after each atom.
Fractional positions:
1 La 0.0000 0.0000 0.0000  6 La 3.60, 6 Nd 3.73-3.77
2 Nd 0.5784 0.5784 0.5784  3 Sc 3.44, 6 Nd 3.60, 3 La 3.73
3 Nd 0.7564 0.7564 0.7564  3 Sc 3.42, 6 Nd 3.60, 3 La 3.77
4 Sc 0.1671 0.1671 0.1671  6 Nd 3.42-3.44, 6 Sc 3.60


Entry 3:
Density functional theory data (PBE) for an optimized crystal structure of La2Nd4Sc.

Results
As for the formation energy: 2.87 eV per formula unit. Its theoretical density is 6.3 Mg/m³. Its space group is Cmmm (65). The total energy is -0.340 Ry per atom.

Unit cell a=7.2121 b=7.2121 c=5.9498 alpha=90.00 beta=90.00 gamma=129.61
With the nearest neighbours (Å) after each atom.
Fractional positions:
1 La 0.1082 0.8918 0.0000  1 La 2.82, 4 Nd 3.09-3.16
2 La 0.8918 0.1082 0.0000  1 La 2.82, 4 Nd 3.09-3.16
3 Nd 0.1890 0.8110 0.5000  2 La 3.16, 2 Nd 3.46
4 Nd 0.3643 0.6357 0.0000  3 La 3.09-3.34, 2 Sc 3.46
5 Nd 0.6357 0.3643 0.0000  3 La 3.09-3.34, 2 Sc 3.46
6 Nd 0.8110 0.1890 0.5000  2 La 3.16, 2 Nd 3.46
7 Sc 0.5000 0.5000 0.5000  4 Nd 3.46